This record from the Alexandria database describes Hf2Al2Pd after structural relaxation. The functional is PBE.

Summary:
N(E_F), states/eV/atom: 0.622
Relative energy among the computed polymorphs, eV per atom: 0.056
Formation energy from the elements, eV/atom: -0.52
SG: Immm, No. 71

Structure (CIF):
```
data_Hf2Al2Pd
_cell_length_a 3.462
_cell_length_b 5.612
_cell_length_c 5.612
_cell_angle_alpha 63.84
_cell_angle_beta 72.04
_cell_angle_gamma 72.04
_space_group_name_H-M_alt 'P 1'
_space_group_IT_number 1
_space_group_name_Hall 'P 1'
loop_
_atom_site_label
_atom_site_type_symbol
_atom_site_fract_x
_atom_site_fract_y
_atom_site_fract_z
Al1 Al 0.500 0.291 0.709
Al2 Al 0.500 0.709 0.291
Hf1 Hf 0.777 0.723 0.723
Hf2 Hf 0.223 0.277 0.277
Pd1 Pd 0.000 0.000 0.000
```